## Be2SiPt (PBE)

Data for an optimized crystal structure of Be2SiPt.

Output
- formation energy from raw total energies (eV per atom) = -0.29

Cell lengths 5.038, 5.117, 7.094 Å; angles 90.00, 90.00, 90.00 degrees
Space group Fmmm (No. 69)
Unique sites:
Be: 0.250 0.250 0.250 x8
Si: 0.000 0.000 0.000 x4
Pt: 0.000 0.000 0.500 x4

## Be2SiPt (PBE)

Data for an optimized crystal structure of Be2SiPt.

Output
- formation energy from raw total energies (eV per atom) = -0.19

Cell lengths 7.810, 2.814, 4.310 Å; angles 90.00, 99.90, 90.00 degrees
Space group C2/m (No. 12)
Unique sites:
Be: 0.250 0.000 0.232 x4
Si: 0.000 0.500 0.000 x2
Pt: 0.000 0.000 0.500 x2

## BeSi2Pt (PBE)

Data for an optimized crystal structure of BeSi2Pt.

Output
- formation energy from raw total energies (eV per atom) = -0.15

Cell lengths 3.743, 3.743, 15.981 Å; angles 90.00, 90.00, 90.00 degrees
Space group I-42d (No. 122)
Unique sites:
Be: 0.000 0.000 0.000 x4
Si: 0.217 0.250 0.125 x8
Pt: 0.000 0.000 0.500 x4

## BeSi2Pt (PBE)

Data for an optimized crystal structure of BeSi2Pt.

Output
- formation energy from raw total energies (eV per atom) = 0.02

Cell lengths 4.985, 5.169, 8.748 Å; angles 90.00, 90.00, 90.00 degrees
Space group Fmmm (No. 69)
Unique sites:
Be: 0.000 0.000 0.000 x4
Si: 0.250 0.000 0.250 x8
Pt: 0.000 0.000 0.500 x4

## Be2SiPt2 (PBE)

Data for an optimized crystal structure of Be2SiPt2.

Output
- formation energy from raw total energies (eV per atom) = -0.48

Cell lengths 6.746, 6.746, 2.789 Å; angles 90.00, 90.00, 90.00 degrees
Space group P4/mbm (No. 127)
Unique sites:
Be: 0.133 0.367 0.000 x4
Si: 0.000 0.000 0.500 x2
Pt: 0.162 0.662 0.500 x4

## Be2SiPt (PBE)

Data for an optimized crystal structure of Be2SiPt.

Output
- formation energy from raw total energies (eV per atom) = 0.06

Cell lengths 2.7563, 2.7563, 22.5233 Å; angles 90.00, 90.00, 120.00 degrees
Space group R3m (No. 160, hexagonal axes)
Unique sites:
Be: 0.0000 0.0000 0.0000 x3
Be: 0.0000 0.0000 0.2566 x3
Si: 0.0000 0.0000 0.5060 x3
Pt: 0.0000 0.0000 0.7487 x3

## BeSi2Pt (PBE)

Data for an optimized crystal structure of BeSi2Pt.

Output
- formation energy from raw total energies (eV per atom) = 0.08

Cell lengths 5.974, 5.974, 5.974 Å; angles 90.00, 90.00, 90.00 degrees
Space group F-43m (No. 216)
Unique sites:
Be: 0.000 0.000 0.000 x4
Si: 0.000 0.000 0.500 x4
Si: 0.250 0.250 0.250 x4
Pt: 0.250 0.250 0.750 x4

## Be2SiPt (PBE)

Data for an optimized crystal structure of Be2SiPt.

Output
- formation energy from raw total energies (eV per atom) = -0.27

Cell lengths 8.002, 2.775, 4.215 Å; angles 90.00, 98.84, 90.00 degrees
Space group Cm (No. 8)
Unique sites:
Be: 0.000 0.000 0.000 x2
Be: 0.247 0.500 0.220 x2
Si: 0.498 0.000 0.456 x2
Pt: 0.251 0.000 0.746 x2

## BeSi2Pt (PBE)

Data for an optimized crystal structure of BeSi2Pt.

Output
- formation energy from raw total energies (eV per atom) = 0.07

Cell lengths 3.576, 3.825, 3.872 Å; angles 90.00, 90.00, 90.00 degrees
Space group Pmmm (No. 47)
Unique sites:
Be: 0.000 0.000 0.000 x1
Si: 0.000 0.500 0.500 x1
Si: 0.500 0.500 0.000 x1
Pt: 0.500 0.000 0.500 x1

## BeSiPt4 (PBE)

Data for an optimized crystal structure of BeSiPt4.

Output
- formation energy from raw total energies (eV per atom) = -0.45

Cell lengths 4.435, 6.988, 5.738 Å; angles 90.00, 90.01, 90.00 degrees
Space group P2_1/c (No. 14)
Unique sites:
Be: 0.000 0.000 0.000 x2
Si: 0.500 0.000 0.500 x2
Pt: 0.006 0.181 0.390 x4
Pt: 0.493 0.668 0.381 x4

## BeSi3Pt (PBE)

Data for an optimized crystal structure of BeSi3Pt.

Output
- formation energy from raw total energies (eV per atom) = 0.94

Cell lengths 4.704, 4.704, 4.704 Å; angles 90.00, 90.00, 90.00 degrees
Space group Pm-3m (No. 221)
Unique sites:
Be: 0.000 0.000 0.000 x1
Si: 0.000 0.500 0.500 x3
Pt: 0.500 0.500 0.500 x1

## BeSi2Pt (PBE)

Data for an optimized crystal structure of BeSi2Pt.

Output
- formation energy from raw total energies (eV per atom) = 0.00

Cell lengths 2.9318, 2.9318, 21.8463 Å; angles 90.00, 90.00, 120.00 degrees
Space group R-3m (No. 166, hexagonal axes)
Unique sites:
Be: 0.0000 0.0000 0.0000 x3
Si: 0.0000 0.0000 0.2553 x6
Pt: 0.0000 0.0000 0.5000 x3

What did the eleventh record say?
## BeSi3Pt (PBE)

Data for an optimized crystal structure of BeSi3Pt.

Output
- formation energy from raw total energies (eV per atom) = 0.94

Cell lengths 4.704, 4.704, 4.704 Å; angles 90.00, 90.00, 90.00 degrees
Space group Pm-3m (No. 221)
Unique sites:
Be: 0.000 0.000 0.000 x1
Si: 0.000 0.500 0.500 x3
Pt: 0.500 0.500 0.500 x1